Entry 1:
{"formula": "YMg3Pt", "functional": "GGA-PBE", "state": "relaxed", "de_polymorph_ev_per_atom": 0.275, "total_magnetization_mub_per_fu": 0.00, "spacegroup": "No. 221", "formation_enthalpy_0k_ev_per_atom": -0.271, "lattice_angstrom": [[4.9857, 0.0000, 0.0000], [0.0000, 4.9857, 0.0000], [0.0000, 0.0000, 4.9857]], "species": ["Y", "Mg", "Mg", "Mg", "Pt"], "frac_coords": [[0.0000, 0.0000, 0.0000], [0.0000, 0.5000, 0.5000], [0.5000, 0.0000, 0.5000], [0.5000, 0.5000, 0.0000], [0.5000, 0.5000, 0.5000]]}

=====

Entry 2:
{"formula": "YMg2Pt", "functional": "GGA-PBE", "state": "relaxed", "total_magnetization_mub_per_fu": 0.00, "spacegroup": "No. 166", "formation_enthalpy_0k_ev_per_atom": -0.228, "lattice_angstrom": [[3.2559, 0.0000, 0.0000], [-1.6280, 2.8197, 0.0000], [0.0000, 0.0000, 28.9702]], "species": ["Y", "Y", "Y", "Mg", "Mg", "Mg", "Mg", "Mg", "Mg", "Pt", "Pt", "Pt"], "frac_coords": [[0.0000, 0.0000, 0.0000], [0.3333, 0.6667, 0.6667], [0.6667, 0.3333, 0.3333], [0.0000, 0.0000, 0.2335], [0.0000, 0.0000, 0.7665], [0.3333, 0.6667, 0.4331], [0.3333, 0.6667, 0.9002], [0.6667, 0.3333, 0.0998], [0.6667, 0.3333, 0.5669], [0.0000, 0.0000, 0.5000], [0.3333, 0.6667, 0.1667], [0.6667, 0.3333, 0.8333]]}

=====

Entry 3:
{"formula": "YMg2Pt", "functional": "GGA-PBE", "state": "relaxed", "total_magnetization_mub_per_fu": 0.00, "spacegroup": "No. 123", "formation_enthalpy_0k_ev_per_atom": -0.558, "lattice_angstrom": [[4.1427, 0.0000, 0.0000], [0.0000, 4.1427, 0.0000], [0.0000, 0.0000, 4.9193]], "species": ["Y", "Mg", "Mg", "Pt"], "frac_coords": [[0.0000, 0.0000, 0.0000], [0.0000, 0.5000, 0.5000], [0.5000, 0.0000, 0.5000], [0.5000, 0.5000, 0.0000]]}